1.
Here is a geometry-optimized ZrGe structure from the Alexandria database. Energies are from PBE.

Cell and atoms, written as CIF:
```
data_ZrGe
_chemical_formula_sum 'Zr6 Ge6'
_symmetry_space_group_name_H-M 'C m m m'
_symmetry_Int_Tables_number 65
_symmetry_space_group_name_Hall '-C 2 2'
_cell_length_a 6.341
_cell_length_b 10.869
_cell_length_c 4.121
_cell_angle_alpha 90.00
_cell_angle_beta 90.00
_cell_angle_gamma 90.00
loop_
_atom_site_label
_atom_site_type_symbol
_atom_site_fract_x
_atom_site_fract_y
_atom_site_fract_z
_atom_site_occupancy
Zr1 Zr 0.000 0.000 0.000 1
Zr2 Zr 0.250 0.250 0.000 1
Ge1 Ge 0.000 0.168 0.500 1
Ge2 Ge 0.000 0.500 0.000 1
```

energy of formation from the pure elements: -48 kJ/mol of formula units
density: 5.75 g cm⁻³

---

2.
Here is a geometry-optimized ZrGe structure from the Alexandria database. Energies are from PBE.

Cell and atoms, written as CIF:
```
data_ZrGe
_chemical_formula_sum 'Zr2 Ge2'
_symmetry_space_group_name_H-M 'C 1 2/m 1'
_symmetry_Int_Tables_number 12
_symmetry_space_group_name_Hall '-C 2y'
_cell_length_a 5.544
_cell_length_b 4.777
_cell_length_c 3.105
_cell_angle_alpha 90.00
_cell_angle_beta 106.94
_cell_angle_gamma 90.00
loop_
_atom_site_label
_atom_site_type_symbol
_atom_site_fract_x
_atom_site_fract_y
_atom_site_fract_z
_atom_site_occupancy
Zr1 Zr 0.000 0.000 0.000 1
Ge1 Ge 0.000 0.500 0.500 1
```

energy of formation from the pure elements: -119 kJ/mol of formula units
density: 6.92 g cm⁻³

---

3.
Here is a geometry-optimized ZrGe2 structure from the Alexandria database. Energies are from PBE.

Cell and atoms, written as CIF:
```
data_ZrGe2
_chemical_formula_sum 'Zr4 Ge8'
_symmetry_space_group_name_H-M 'C m c m'
_symmetry_Int_Tables_number 63
_symmetry_space_group_name_Hall '-C 2c 2'
_cell_length_a 3.836
_cell_length_b 15.153
_cell_length_c 3.821
_cell_angle_alpha 90.00
_cell_angle_beta 90.00
_cell_angle_gamma 90.00
loop_
_atom_site_label
_atom_site_type_symbol
_atom_site_fract_x
_atom_site_fract_y
_atom_site_fract_z
_atom_site_occupancy
Zr1 Zr 0.000 0.105 0.250 1
Ge1 Ge 0.000 0.250 0.750 1
Ge2 Ge 0.000 0.441 0.250 1
```

energy of formation from the pure elements: -174 kJ/mol of formula units
density: 7.07 g cm⁻³

---

4.
Here is a geometry-optimized ZrGe structure from the Alexandria database. Energies are from PBE.

Cell and atoms, written as CIF:
```
data_ZrGe
_chemical_formula_sum 'Zr8 Ge8'
_symmetry_space_group_name_H-M 'P 21 21 21'
_symmetry_Int_Tables_number 19
_symmetry_space_group_name_Hall 'P 2ac 2ab'
_cell_length_a 5.396
_cell_length_b 5.501
_cell_length_c 10.376
_cell_angle_alpha 90.00
_cell_angle_beta 90.00
_cell_angle_gamma 90.00
loop_
_atom_site_label
_atom_site_type_symbol
_atom_site_fract_x
_atom_site_fract_y
_atom_site_fract_z
_atom_site_occupancy
Zr1 Zr 0.142 0.099 0.032 1
Zr2 Zr 0.147 0.635 0.804 1
Ge1 Ge 0.158 0.871 0.282 1
Ge2 Ge 0.196 0.598 0.065 1
```

energy of formation from the pure elements: -123 kJ/mol of formula units
density: 7.07 g cm⁻³

---

5.
Here is a geometry-optimized ZrGe structure from the Alexandria database. Energies are from PBE.

Cell and atoms, written as CIF:
```
data_ZrGe
_chemical_formula_sum 'Zr8 Ge8'
_symmetry_space_group_name_H-M 'I 4/m c m'
_symmetry_Int_Tables_number 140
_symmetry_space_group_name_Hall '-I 4 2c'
_cell_length_a 9.252
_cell_length_b 9.252
_cell_length_c 5.379
_cell_angle_alpha 90.00
_cell_angle_beta 90.00
_cell_angle_gamma 90.00
loop_
_atom_site_label
_atom_site_type_symbol
_atom_site_fract_x
_atom_site_fract_y
_atom_site_fract_z
_atom_site_occupancy
Zr1 Zr 0.140 0.360 0.000 1
Ge1 Ge 0.154 0.346 0.500 1
```

energy of formation from the pure elements: -59 kJ/mol of formula units
density: 4.73 g cm⁻³

---

6.
Here is a geometry-optimized ZrGe structure from the Alexandria database. Energies are from PBE.

Cell and atoms, written as CIF:
```
data_ZrGe
_chemical_formula_sum 'Zr8 Ge8'
_symmetry_space_group_name_H-M 'I -4 3 m'
_symmetry_Int_Tables_number 217
_symmetry_space_group_name_Hall 'I -4 2 3'
_cell_length_a 8.421
_cell_length_b 8.421
_cell_length_c 8.421
_cell_angle_alpha 90.00
_cell_angle_beta 90.00
_cell_angle_gamma 90.00
loop_
_atom_site_label
_atom_site_type_symbol
_atom_site_fract_x
_atom_site_fract_y
_atom_site_fract_z
_atom_site_occupancy
Zr1 Zr 0.150 0.150 0.850 1
Ge1 Ge 0.165 0.165 0.165 1
```

energy of formation from the pure elements: 61 kJ/mol of formula units
density: 3.64 g cm⁻³

---

7.
Here is a geometry-optimized ZrGe structure from the Alexandria database. Energies are from PBE.

Cell and atoms, written as CIF:
```
data_ZrGe
_chemical_formula_sum 'Zr4 Ge4'
_symmetry_space_group_name_H-M 'P n m a'
_symmetry_Int_Tables_number 62
_symmetry_space_group_name_Hall '-P 2ac 2n'
_cell_length_a 7.127
_cell_length_b 3.931
_cell_length_c 5.441
_cell_angle_alpha 90.00
_cell_angle_beta 90.00
_cell_angle_gamma 90.00
loop_
_atom_site_label
_atom_site_type_symbol
_atom_site_fract_x
_atom_site_fract_y
_atom_site_fract_z
_atom_site_occupancy
Zr1 Zr 0.177 0.250 0.132 1
Ge1 Ge 0.048 0.250 0.654 1
```

energy of formation from the pure elements: -156 kJ/mol of formula units
density: 7.14 g cm⁻³

---

8.
Here is a geometry-optimized ZrGe structure from the Alexandria database. Energies are from PBE.

Cell and atoms, written as CIF:
```
data_ZrGe
_chemical_formula_sum 'Zr16 Ge16'
_symmetry_space_group_name_H-M 'F d d d'
_symmetry_Int_Tables_number 70
_cell_length_a 5.007
_cell_length_b 9.193
_cell_length_c 14.075
_cell_angle_alpha 90.00
_cell_angle_beta 90.00
_cell_angle_gamma 90.00
loop_
_symmetry_equiv_pos_as_xyz
'x,y,z'
'-x,-y,-z'
'-x+1/4,-y+1/4,z'
'x+1/4,y+1/4,-z'
'x,-y+1/4,-z+1/4'
'-x,y+1/4,z+1/4'
'-x+1/4,y,-z+1/4'
'x+1/4,-y,z+1/4'
'x,y+1/2,z+1/2'
'-x,-y+1/2,-z+1/2'
'-x+1/4,-y+3/4,z+1/2'
'x+1/4,y+3/4,-z+1/2'
'x,-y+3/4,-z+3/4'
'-x,y+3/4,z+3/4'
'-x+1/4,y+1/2,-z+3/4'
'x+1/4,-y+1/2,z+3/4'
'x+1/2,y,z+1/2'
'-x+1/2,-y,-z+1/2'
'-x+3/4,-y+1/4,z+1/2'
'x+3/4,y+1/4,-z+1/2'
'x+1/2,-y+1/4,-z+3/4'
'-x+1/2,y+1/4,z+3/4'
'-x+3/4,y,-z+3/4'
'x+3/4,-y,z+3/4'
'x+1/2,y+1/2,z'
'-x+1/2,-y+1/2,-z'
'-x+3/4,-y+3/4,z'
'x+3/4,y+3/4,-z'
'x+1/2,-y+3/4,-z+1/4'
'-x+1/2,y+3/4,z+1/4'
'-x+3/4,y+1/2,-z+1/4'
'x+3/4,-y+1/2,z+1/4'
loop_
_atom_site_label
_atom_site_type_symbol
_atom_site_fract_x
_atom_site_fract_y
_atom_site_fract_z
_atom_site_occupancy
Zr1 Zr 0.125 0.282 0.125 1
Ge1 Ge 0.125 0.125 0.539 1
```

energy of formation from the pure elements: -27 kJ/mol of formula units
density: 6.72 g cm⁻³

---

Please write out number 1 again, unchanged.
Here is a geometry-optimized ZrGe structure from the Alexandria database. Energies are from PBE.

Cell and atoms, written as CIF:
```
data_ZrGe
_chemical_formula_sum 'Zr6 Ge6'
_symmetry_space_group_name_H-M 'C m m m'
_symmetry_Int_Tables_number 65
_symmetry_space_group_name_Hall '-C 2 2'
_cell_length_a 6.341
_cell_length_b 10.869
_cell_length_c 4.121
_cell_angle_alpha 90.00
_cell_angle_beta 90.00
_cell_angle_gamma 90.00
loop_
_atom_site_label
_atom_site_type_symbol
_atom_site_fract_x
_atom_site_fract_y
_atom_site_fract_z
_atom_site_occupancy
Zr1 Zr 0.000 0.000 0.000 1
Zr2 Zr 0.250 0.250 0.000 1
Ge1 Ge 0.000 0.168 0.500 1
Ge2 Ge 0.000 0.500 0.000 1
```

energy of formation from the pure elements: -48 kJ/mol of formula units
density: 5.75 g cm⁻³